# NdPuCo2, optimized geometry, DFT PBE
data_NdPuCo2
_symmetry_space_group_name_H-M 'P 1'
_symmetry_Int_Tables_number 1
_cell_length_a 3.3490
_cell_length_b 3.3490
_cell_length_c 6.8914
_cell_angle_alpha 90.00
_cell_angle_beta 90.00
_cell_angle_gamma 90.00
loop_
_symmetry_equiv_pos_as_xyz
'x,y,z'
loop_
_atom_site_label
_atom_site_fract_x
_atom_site_fract_y
_atom_site_fract_z
_atom_site_occupancy
Co1 0.0000 0.0000 0.7934 1
Co2 0.0000 0.0000 0.2066 1
Nd1 0.5000 0.5000 0.5000 1
Pu1 0.5000 0.5000 0.0000 1
# mass density	10.87	g cm⁻³
# crystal system	tetragonal
# calculated formation energy	0.064	eV per atom
# magnetic moment	0.9560	μB/atom
# total energy	-8.26	eV/atom